SrLaIn: relaxed, PBE-GGA.

```
SrLaIn
1.0
-7.0869 1.3923 2.9115
-0.7139 -4.6540 0.4879
4.3213 0.4189 10.3181
Sr In La
4 4 4
Cartesian
-4.6493 0.2236 6.8115
-1.0663 -2.2435 11.4835
1.1697 -3.0664 6.9061
-2.4132 -0.5993 2.2340
-3.0630 0.3596 10.4292
-3.9227 -2.5026 4.8331
-0.4166 -3.2023 3.2883
0.4432 -0.3402 8.8845
-1.1869 -0.4578 5.3781
2.5504 -2.9552 9.9867
-2.2926 -2.3850 8.3395
-6.0299 0.1124 3.7308
```

Results
Volume in Å³ per atom: 34.39
ΔE_f in meV/atom: -216
Crystal system: orthorhombic
Final energy in eV/atom: -3.3320
Distance to the lowest polymorph of the same formula in eV per atom: 0.1555